A relaxed structure of KYF4. Source: Alexandria, functional PBE.

```
24
Lattice="3.634 0.000 0.000 0.000 6.147 0.000 0.000 0.000 15.602" Properties=species:S:1:pos:R:3 pbc="T T T"
K 2.725 4.777 12.455
K 0.908 1.371 3.147
K 0.908 4.444 4.654
K 2.725 1.703 10.948
Y 2.725 1.532 6.879
Y 0.908 4.615 8.723
Y 0.908 1.541 14.680
Y 2.725 4.606 0.922
F 2.725 5.489 9.839
F 0.908 0.658 5.763
F 0.908 3.732 2.038
F 2.725 2.416 13.564
F 2.725 5.328 7.237
F 0.908 0.819 8.364
F 0.908 3.893 15.038
F 2.725 2.255 0.563
F 2.725 6.121 14.720
F 0.908 0.026 0.882
F 0.908 3.099 6.919
F 2.725 3.048 8.683
F 2.725 5.562 2.931
F 0.908 0.585 12.670
F 0.908 3.659 10.732
F 2.725 2.488 4.870
```

Results
final energy: -6.21 eV/atom
energy relative to the elements, uncorrected: -22.19 eV per formula unit
crystal system: orthorhombic
total magnetic moment: 0.06 μB/f.u.